The following is a DFT calculation (GGA-PBE) of a relaxed structure of Rb2NaAu3.

a b c (Å): 4.9004 4.9004 20.0072
angles (deg): 90.00 90.00 120.00
Fractional coordinates of all 12 atoms:
Rb  0.0000  0.0000  0.1101
Rb  0.0000  0.0000  0.3899
Rb  0.0000  0.0000  0.6101
Rb  0.0000  0.0000  0.8899
Na  0.3333  0.6667  0.2500
Na  0.6667  0.3333  0.7500
Au  0.3333  0.6667  0.0003
Au  0.3333  0.6667  0.4997
Au  0.3333  0.6667  0.7500
Au  0.6667  0.3333  0.9997
Au  0.6667  0.3333  0.2500
Au  0.6667  0.3333  0.5003

- E: -2.3968 eV/atom
- Symmetry: No. 194
- Formation enthalpy at 0 K: -216 meV/atom
- Magnetization: 0.0 μB/f.u.

The following is a DFT calculation (GGA-PBE) of a relaxed structure of Mg6CdIr.

a b c (Å): 8.3555 8.3555 8.3555
angles (deg): 32.93 32.93 32.93
Fractional coordinates of all 8 atoms:
Mg  0.1180  0.1180  0.1180
Mg  0.2537  0.2537  0.2537
Mg  0.3696  0.3696  0.3696
Mg  0.6304  0.6304  0.6304
Mg  0.7463  0.7463  0.7463
Mg  0.8820  0.8820  0.8820
Cd  0.5000  0.5000  0.5000
Ir  0.0000  0.0000  0.0000

- E: -2.5631 eV/atom
- Symmetry: No. 166
- Formation enthalpy at 0 K: -145 meV/atom
- Magnetization: 0.0 μB/f.u.

The following is a DFT calculation (GGA-PBE) of a relaxed structure of PmPtSe2O8.

a b c (Å): 5.9619 5.9619 6.4330
angles (deg): 90.00 90.00 120.00
Fractional coordinates of all 12 atoms:
Pm  0.0000  0.0000  0.0000
Pt  0.0000  0.0000  0.5000
Se  0.3333  0.6667  0.2882
Se  0.6667  0.3333  0.7118
O  0.1457  0.2915  0.2904
O  0.1457  0.8543  0.2904
O  0.2915  0.1457  0.7096
O  0.3333  0.6667  0.0309
O  0.6667  0.3333  0.9691
O  0.7085  0.8543  0.2904
O  0.8543  0.1457  0.7096
O  0.8543  0.7085  0.7096

- E: -5.8272 eV/atom
- Symmetry: No. 164
- ΔE_f (raw): -100.5 kJ per mole of atoms
- Magnetization: 0.0 μB/f.u.

The following is a DFT calculation (GGA-PBE) of a relaxed structure of VHgTe2.

a b c (Å): 13.5096 13.5096 4.4312
angles (deg): 90.00 90.00 164.07
Fractional coordinates of all 8 atoms:
V  0.0340  0.9660  0.7500
V  0.9660  0.0340  0.2500
Hg  0.4562  0.5438  0.7500
Hg  0.5438  0.4562  0.2500
Te  0.2667  0.7333  0.7500
Te  0.3881  0.6119  0.2500
Te  0.6119  0.3881  0.7500
Te  0.7333  0.2667  0.2500

- E: -3.7690 eV/atom
- Symmetry: No. 63
- ΔE_f (raw): 15.1 kJ per mole of atoms
- Magnetization: 0.0 μB/f.u.